Below is a geometry-optimized HfB2Os2 structure, with properties calculated at the PBE level.

Cell lengths 3.931, 3.931, 8.450 Å; angles 90.00, 90.00, 90.00 degrees
Atoms (fractional coordinates):
Hf  0.000  0.000  0.000
Hf  0.500  0.500  0.500
B  0.000  0.500  0.250
B  0.000  0.500  0.750
B  0.500  0.000  0.250
B  0.500  0.000  0.750
Os  0.000  0.000  0.356
Os  0.000  0.000  0.644
Os  0.500  0.500  0.144
Os  0.500  0.500  0.856

## Properties
Energy (Ha/atom): -0.3392
Energy of formation (eV/atom): -0.076
Magnetic moment (μB/f.u.): 0.0



Below is a geometry-optimized FeSiNi2 structure, with properties calculated at the PBE level.

Cell lengths 2.570, 3.693, 4.875 Å; angles 90.00, 102.99, 90.00 degrees
Atoms (fractional coordinates):
Fe  0.000  0.000  0.000
Si  0.000  0.000  0.500
Ni  0.416  0.500  0.742
Ni  0.584  0.500  0.258

## Properties
Energy (Ha/atom): -0.2429
E_form (uncorrected) (meV per atom): -247
Magnetic moment (μB/f.u.): 2.7



Below is a geometry-optimized Nd5TlIn4 structure, with properties calculated at the PBE level.

Cell lengths 3.884, 3.884, 19.389 Å; angles 90.00, 90.00, 90.00 degrees
Atoms (fractional coordinates):
Nd  0.000  0.000  0.000
Nd  0.000  0.000  0.199
Nd  0.000  0.000  0.398
Nd  0.000  0.000  0.602
Nd  0.000  0.000  0.801
Tl  0.500  0.500  0.500
In  0.500  0.500  0.099
In  0.500  0.500  0.298
In  0.500  0.500  0.702
In  0.500  0.500  0.901

## Properties
Energy (Ha/atom): -0.1540
Energy of formation (eV/atom): -0.475
Magnetic moment (μB/f.u.): 0.0



Below is a geometry-optimized Dy4AgRu2 structure, with properties calculated at the PBE level.

Cell lengths 7.184, 7.261, 7.587 Å; angles 107.57, 106.31, 107.03 degrees
Atoms (fractional coordinates):
Dy  0.000  0.000  0.000
Dy  0.044  0.431  0.824
Dy  0.116  0.459  0.370
Dy  0.197  0.054  0.583
Dy  0.480  0.966  0.966
Dy  0.595  0.323  0.430
Dy  0.643  0.879  0.542
Dy  0.747  0.621  0.165
Ag  0.256  0.804  0.214
Ag  0.481  0.543  0.752
Ru  0.345  0.322  0.053
Ru  0.652  0.235  0.818
Ru  0.839  0.077  0.334
Ru  0.968  0.701  0.614

## Properties
Energy (Ha/atom): -0.2191
Energy of formation (eV/atom): -0.275
Magnetic moment (μB/f.u.): 0.0



Below is a geometry-optimized CaTcF3 structure, with properties calculated at the PBE level.

Cell lengths 4.275, 4.275, 4.275 Å; angles 90.00, 90.00, 90.00 degrees
Atoms (fractional coordinates):
Ca  0.000  0.000  0.000
Tc  0.500  0.500  0.500
F  0.000  0.500  0.500
F  0.500  0.000  0.500
F  0.500  0.500  0.000

## Properties
Energy (Ha/atom): -0.1871
E_form (uncorrected) (meV per atom): -1495
Magnetic moment (μB/f.u.): 0.4



Below is a geometry-optimized La5Np3Bi12 structure, with properties calculated at the PBE level.

Cell lengths 16.240, 16.240, 16.240 Å; angles 109.47, 109.47, 109.47 degrees
Atoms (fractional coordinates):
La  0.000  0.000  0.000
La  0.000  0.000  0.500
La  0.000  0.500  0.000
La  0.000  0.500  0.500
La  0.125  0.750  0.875
La  0.125  0.875  0.250
La  0.250  0.125  0.875
La  0.250  0.625  0.375
La  0.375  0.250  0.625
La  0.375  0.625  0.750
La  0.500  0.000  0.000
La  0.500  0.000  0.500
La  0.500  0.500  0.000
La  0.500  0.500  0.500
La  0.625  0.375  0.250
La  0.625  0.750  0.375
La  0.750  0.375  0.625
La  0.750  0.875  0.125
La  0.875  0.125  0.750
La  0.875  0.250  0.125
Np  0.125  0.250  0.375
Np  0.125  0.375  0.750
Np  0.250  0.375  0.125
Np  0.250  0.875  0.625
Np  0.375  0.125  0.250
Np  0.375  0.750  0.125
Np  0.625  0.250  0.875
Np  0.625  0.875  0.750
Np  0.750  0.125  0.375
Np  0.750  0.625  0.875
Np  0.875  0.625  0.250
Np  0.875  0.750  0.625
Bi  0.070  0.643  0.400
Bi  0.070  0.928  0.670
Bi  0.072  0.243  0.143
Bi  0.072  0.330  0.930
Bi  0.100  0.743  0.670
Bi  0.100  0.857  0.430
Bi  0.143  0.072  0.243
Bi  0.143  0.570  0.900
Bi  0.170  0.243  0.600
Bi  0.170  0.428  0.570
Bi  0.243  0.143  0.072
Bi  0.243  0.600  0.170
Bi  0.257  0.330  0.900
Bi  0.257  0.428  0.357
Bi  0.330  0.900  0.257
Bi  0.330  0.930  0.072
Bi  0.357  0.257  0.428
Bi  0.357  0.600  0.930
Bi  0.400  0.070  0.643
Bi  0.400  0.830  0.757
Bi  0.428  0.357  0.257
Bi  0.428  0.570  0.170
Bi  0.430  0.100  0.857
Bi  0.430  0.830  0.572
Bi  0.570  0.170  0.428
Bi  0.570  0.900  0.143
Bi  0.572  0.430  0.830
Bi  0.572  0.643  0.743
Bi  0.600  0.170  0.243
Bi  0.600  0.930  0.357
Bi  0.643  0.400  0.070
Bi  0.643  0.743  0.572
Bi  0.670  0.070  0.928
Bi  0.670  0.100  0.743
Bi  0.743  0.572  0.643
Bi  0.743  0.670  0.100
Bi  0.757  0.400  0.830
Bi  0.757  0.857  0.928
Bi  0.830  0.572  0.430
Bi  0.830  0.757  0.400
Bi  0.857  0.430  0.100
Bi  0.857  0.928  0.757
Bi  0.900  0.143  0.570
Bi  0.900  0.257  0.330
Bi  0.928  0.670  0.070
Bi  0.928  0.757  0.857
Bi  0.930  0.072  0.330
Bi  0.930  0.357  0.600

## Properties
Energy (Ha/atom): -0.2035
Energy of formation (eV/atom): -0.037
Magnetic moment (μB/f.u.): 11.5



Below is a geometry-optimized Te2PtF structure, with properties calculated at the PBE level.

Cell lengths 13.781, 3.994, 7.330 Å; angles 90.00, 105.43, 90.00 degrees
Atoms (fractional coordinates):
Te  0.095  0.000  0.377
Te  0.107  0.500  0.903
Te  0.393  0.000  0.097
Te  0.405  0.500  0.623
Te  0.595  0.500  0.377
Te  0.607  0.000  0.903
Te  0.893  0.500  0.097
Te  0.905  0.000  0.623
Pt  0.000  0.000  0.000
Pt  0.000  0.500  0.500
Pt  0.500  0.000  0.500
Pt  0.500  0.500  0.000
F  0.224  0.500  0.146
F  0.276  0.000  0.854
F  0.724  0.000  0.146
F  0.776  0.500  0.854

## Properties
Energy (Ha/atom): -0.1625
E_form (uncorrected) (meV per atom): -874
Magnetic moment (μB/f.u.): 0.0



Below is a geometry-optimized MgInPb2 structure, with properties calculated at the PBE level.

Cell lengths 3.745, 5.620, 10.840 Å; angles 90.00, 90.00, 90.00 degrees
Atoms (fractional coordinates):
Mg  0.000  0.000  0.000
Mg  0.500  0.500  0.000
In  0.000  0.000  0.500
In  0.500  0.500  0.500
Pb  0.000  0.500  0.234
Pb  0.000  0.500  0.766
Pb  0.500  0.000  0.234
Pb  0.500  0.000  0.766

## Properties
Energy (Ha/atom): -0.1071
Energy of formation (eV/atom): 0.024
Magnetic moment (μB/f.u.): 0.0



Below is a geometry-optimized SmAlTlHg structure, with properties calculated at the PBE level.

Cell lengths 7.346, 7.346, 7.346 Å; angles 90.00, 90.00, 90.00 degrees
Atoms (fractional coordinates):
Sm  0.000  0.000  0.000
Sm  0.000  0.500  0.500
Sm  0.500  0.000  0.500
Sm  0.500  0.500  0.000
Al  0.000  0.000  0.500
Al  0.000  0.500  0.000
Al  0.500  0.000  0.000
Al  0.500  0.500  0.500
Tl  0.250  0.250  0.750
Tl  0.250  0.750  0.250
Tl  0.750  0.250  0.250
Tl  0.750  0.750  0.750
Hg  0.250  0.250  0.250
Hg  0.250  0.750  0.750
Hg  0.750  0.250  0.750
Hg  0.750  0.750  0.250

## Properties
Energy (Ha/atom): -0.1074
Energy of formation (eV/atom): -0.141
Magnetic moment (μB/f.u.): 0.0



Below is a geometry-optimized ScCdMo2 structure, with properties calculated at the PBE level.

Cell lengths 2.885, 4.388, 5.923 Å; angles 90.00, 102.01, 90.00 degrees
Atoms (fractional coordinates):
Sc  0.000  0.000  0.000
Cd  0.600  0.500  0.272
Mo  0.182  0.000  0.548
Mo  0.517  0.500  0.748

## Properties
Energy (Ha/atom): -0.2603
Energy of formation (eV/atom): 0.143
Magnetic moment (μB/f.u.): 0.0